Entry 1:
## ReMo2W (PBE-GGA)

Data for an optimized crystal structure of ReMo2W.

Computed properties:
**Volume**: 62.8 Å³/f.u.
**VASP energy**: -11.738 eV/atom
**Mass density**: 14.8 g cm⁻³

Unit cell a=3.1526 b=4.4613 c=8.9368 alpha=90.00 beta=90.00 gamma=90.00
Last column: nearest neighbours and their distance in Å.
Sites, in units of the cell vectors:
1 Re 0.0000 0.0000 0.0000  2 W 2.73, 6 Mo 2.73-2.76
2 Re 0.5000 0.5000 0.5000  2 W 2.73, 6 Mo 2.73-2.76
3 Mo 0.0000 0.0000 0.4964  2 W 2.71, 4 Re 2.73, 2 Mo 2.73
4 Mo 0.0000 0.5000 0.2462  4 W 2.73, 2 Mo 2.73, 2 Re 2.76
5 Mo 0.5000 0.0000 0.7462  4 W 2.73, 2 Mo 2.73, 2 Re 2.76
6 Mo 0.5000 0.5000 0.9964  2 W 2.71, 4 Re 2.73, 2 Mo 2.73
7 W 0.0000 0.5000 0.7493  6 Mo 2.71-2.73, 2 Re 2.73
8 W 0.5000 0.0000 0.2493  6 Mo 2.71-2.73, 2 Re 2.73

---

Entry 2:
## Re2Mo3W2 (PBE-GGA)

Data for an optimized crystal structure of Re2Mo3W2.

Computed properties:
**Volume**: 110.0 Å³/f.u.
**VASP energy**: -11.875 eV/atom
**Mass density**: 15.5 g cm⁻³

Unit cell a=7.7279 b=4.4701 c=6.8685 alpha=90.00 beta=111.96 gamma=90.00
Last column: nearest neighbours and their distance in Å.
Sites, in units of the cell vectors:
1 Re 0.0734 0.0000 0.2202  4 W 2.71-2.72, 3 Mo 2.76, 1 Re 2.81
2 Re 0.4266 0.5000 0.7798  4 W 2.71-2.72, 3 Mo 2.76, 1 Re 2.81
3 Re 0.5734 0.5000 0.2202  4 W 2.71-2.72, 3 Mo 2.76, 1 Re 2.81
4 Re 0.9266 0.0000 0.7798  4 W 2.71-2.72, 3 Mo 2.76, 1 Re 2.81
5 Mo 0.0000 0.5000 0.5000  6 W 2.74, 2 Mo 2.76
6 Mo 0.1446 0.5000 0.9339  1 W 2.68, 4 Mo 2.71-2.76, 3 Re 2.76
7 Mo 0.3554 0.0000 0.0661  1 W 2.68, 4 Mo 2.71-2.76, 3 Re 2.76
8 Mo 0.5000 0.0000 0.5000  6 W 2.74, 2 Mo 2.76
9 Mo 0.6446 0.0000 0.9339  1 W 2.68, 4 Mo 2.71-2.76, 3 Re 2.76
10 Mo 0.8554 0.5000 0.0661  1 W 2.68, 4 Mo 2.71-2.76, 3 Re 2.76
11 W 0.2152 0.0000 0.6457  4 Mo 2.68-2.74, 4 Re 2.71-2.72
12 W 0.2848 0.5000 0.3543  4 Mo 2.68-2.74, 4 Re 2.71-2.72
13 W 0.7152 0.5000 0.6457  4 Mo 2.68-2.74, 4 Re 2.71-2.72
14 W 0.7848 0.0000 0.3543  4 Mo 2.68-2.74, 4 Re 2.71-2.72

---

Entry 3:
## ReMo6W (PBE-GGA)

Data for an optimized crystal structure of ReMo6W.

Computed properties:
**Volume**: 126.2 Å³/f.u.
**VASP energy**: -11.285 eV/atom
**Mass density**: 12.4 g cm⁻³

Unit cell a=4.4741 b=6.3139 c=8.9373 alpha=90.00 beta=90.00 gamma=90.00
Last column: nearest neighbours and their distance in Å.
Sites, in units of the cell vectors:
1 Re 0.0000 0.0000 0.0000  8 Mo 2.71-2.76
2 Re 0.0000 0.5000 0.5000  8 Mo 2.71-2.76
3 Mo 0.0000 0.0000 0.4981  8 Mo 2.72-2.75
4 Mo 0.0000 0.2503 0.2459  2 Re 2.71-2.76, 4 Mo 2.72-2.75, 2 W 2.74
5 Mo 0.0000 0.2497 0.7459  2 Re 2.71-2.76, 4 Mo 2.72-2.75, 2 W 2.74
6 Mo 0.0000 0.5000 0.9981  8 Mo 2.72-2.75
7 Mo 0.0000 0.7497 0.2459  2 Re 2.71-2.76, 4 Mo 2.72-2.75, 2 W 2.74
8 Mo 0.0000 0.7503 0.7459  2 Re 2.71-2.76, 4 Mo 2.72-2.75, 2 W 2.74
9 Mo 0.5000 0.0000 0.7503  8 Mo 2.70-2.77
10 Mo 0.5000 0.2494 0.4958  4 Mo 2.70-2.77, 2 W 2.72-2.75, 2 Re 2.74
11 Mo 0.5000 0.2506 0.9958  4 Mo 2.70-2.77, 2 W 2.72-2.75, 2 Re 2.74
12 Mo 0.5000 0.5000 0.2503  8 Mo 2.70-2.77
13 Mo 0.5000 0.7494 0.9958  4 Mo 2.70-2.77, 2 W 2.72-2.75, 2 Re 2.74
14 Mo 0.5000 0.7506 0.4958  4 Mo 2.70-2.77, 2 W 2.72-2.75, 2 Re 2.74
15 W 0.5000 0.0000 0.2475  8 Mo 2.72-2.75
16 W 0.5000 0.5000 0.7475  8 Mo 2.72-2.75

---

Entry 4:
## Re2MoW (PBE-GGA)

Data for an optimized crystal structure of Re2MoW.

Computed properties:
**Volume**: 62.2 Å³/f.u.
**VASP energy**: -12.069 eV/atom
**Mass density**: 17.4 g cm⁻³

Unit cell a=3.1364 b=4.4580 c=8.8949 alpha=90.00 beta=90.00 gamma=90.00
Last column: nearest neighbours and their distance in Å.
Sites, in units of the cell vectors:
1 Re 0.0000 0.0000 0.2433  2 W 2.67, 4 Re 2.73, 2 Mo 2.77
2 Re 0.0000 0.0000 0.7567  2 W 2.67, 4 Re 2.73, 2 Mo 2.77
3 Re 0.5000 0.5000 0.2567  2 W 2.67, 4 Re 2.73, 2 Mo 2.77
4 Re 0.5000 0.5000 0.7433  2 W 2.67, 4 Re 2.73, 2 Mo 2.77
5 Mo 0.0000 0.5000 0.0000  4 W 2.73, 4 Re 2.77
6 Mo 0.5000 0.0000 0.5000  4 W 2.73, 4 Re 2.77
7 W 0.0000 0.5000 0.5000  4 Re 2.67, 4 Mo 2.73
8 W 0.5000 0.0000 0.0000  4 Re 2.67, 4 Mo 2.73

---

Entry 5:
## Re2Mo5W12 (PBE-GGA)

Data for an optimized crystal structure of Re2Mo5W12.

Computed properties:
**Volume**: 312.9 Å³/f.u.
**VASP energy**: -12.125 eV/atom
**Mass density**: 16.2 g cm⁻³

Unit cell a=8.1721 b=8.1721 c=5.1870 alpha=99.01 beta=99.01 gamma=66.87
Last column: nearest neighbours and their distance in Å.
Sites, in units of the cell vectors:
1 Re 0.2468 0.7532 0.0000  6 W 2.67-2.76
2 Re 0.7532 0.2468 0.0000  6 W 2.67-2.76
3 Mo 0.0000 0.0000 0.5000  6 W 2.67-2.68
4 Mo 0.2431 0.2431 0.5087  6 W 2.70-2.81, 1 Mo 2.75
5 Mo 0.3478 0.3478 0.1038  7 W 2.68-2.76, 1 Mo 2.75
6 Mo 0.6522 0.6522 0.8962  7 W 2.68-2.76, 1 Mo 2.75
7 Mo 0.7569 0.7569 0.4913  6 W 2.70-2.81, 1 Mo 2.75
8 W 0.0504 0.5516 0.7984  4 W 2.70-2.73, 1 Re 2.72, 3 Mo 2.74-2.76
9 W 0.1470 0.1470 0.9192  3 Mo 2.67-2.73, 4 W 2.70-2.82
10 W 0.1555 0.6438 0.3944  1 Re 2.67, 2 Mo 2.68, 5 W 2.70-2.82
11 W 0.3562 0.8445 0.6056  1 Re 2.67, 2 Mo 2.68, 5 W 2.70-2.82
12 W 0.4484 0.9496 0.2016  4 W 2.70-2.73, 1 Re 2.72, 3 Mo 2.74-2.76
13 W 0.4494 0.4494 0.7065  3 Mo 2.69-2.81, 3 W 2.74-2.76, 2 Re 2.76
14 W 0.5506 0.5506 0.2935  3 Mo 2.69-2.81, 3 W 2.74-2.76, 2 Re 2.76
15 W 0.5516 0.0504 0.7984  4 W 2.70-2.73, 1 Re 2.72, 3 Mo 2.74-2.76
16 W 0.6438 0.1555 0.3944  1 Re 2.67, 2 Mo 2.68, 5 W 2.70-2.82
17 W 0.8445 0.3562 0.6056  1 Re 2.67, 2 Mo 2.68, 5 W 2.70-2.82
18 W 0.8530 0.8530 0.0808  3 Mo 2.67-2.73, 4 W 2.70-2.82
19 W 0.9496 0.4484 0.2016  4 W 2.70-2.73, 1 Re 2.72, 3 Mo 2.74-2.76

---

Entry 6:
## Re2MoW (PBE-GGA)

Data for an optimized crystal structure of Re2MoW.

Computed properties:
**Volume**: 62.2 Å³/f.u.
**VASP energy**: -11.932 eV/atom
**Mass density**: 17.4 g cm⁻³

Unit cell a=2.7963 b=2.7963 c=27.5594 alpha=90.00 beta=90.00 gamma=120.00
Last column: nearest neighbours and their distance in Å.
Sites, in units of the cell vectors:
1 Re 0.0000 0.0000 0.2503  6 Re 2.80, 3 Mo 2.80, 3 W 2.82
2 Re 0.0000 0.0000 0.7497  6 Re 2.80, 3 Mo 2.80, 3 W 2.82
3 Re 0.3333 0.6667 0.4163  6 Re 2.80, 3 Mo 2.80, 3 W 2.82
4 Re 0.3333 0.6667 0.9170  6 Re 2.80, 3 Mo 2.80, 3 W 2.82
5 Re 0.6667 0.3333 0.0830  6 Re 2.80, 3 Mo 2.80, 3 W 2.82
6 Re 0.6667 0.3333 0.5837  6 Re 2.80, 3 Mo 2.80, 3 W 2.82
7 Mo 0.0000 0.0000 0.0000  6 Mo 2.80, 6 Re 2.80
8 Mo 0.3333 0.6667 0.6667  6 Mo 2.80, 6 Re 2.80
9 Mo 0.6667 0.3333 0.3333  6 Mo 2.80, 6 Re 2.80
10 W 0.0000 0.0000 0.5000  6 W 2.80, 6 Re 2.82
11 W 0.3333 0.6667 0.1667  6 W 2.80, 6 Re 2.82
12 W 0.6667 0.3333 0.8333  6 W 2.80, 6 Re 2.82

---

- What is the VASP energy in the third record?
  -11.285 eV/atom